No. 1
Density functional theory data (PBE) for crystalline TcAs2Pb at its relaxed geometry.

Cell and atoms, written as POSCAR:
```
TcAs2Pb
1.0
8.644 0.000 0.000
0.000 3.258 0.000
-1.952 0.000 6.297
Tc As Pb
2 4 2
Direct
0.000 0.000 0.000
0.500 0.500 0.000
0.058 0.500 0.302
0.205 0.500 0.966
0.558 0.000 0.302
0.705 0.000 0.966
0.355 0.000 0.591
0.855 0.500 0.591
```

Summary:
* M_tot: 0.0 μB/f.u.
* symmetry: Cm
* electronic total energy: -5.845 eV/atom
* V: 88.7 Å³/f.u.
* formation enthalpy at 0 K: -1.4 meV/atom



No. 2
Density functional theory data (PBE) for crystalline Tc4AsPb at its relaxed geometry.

Cell and atoms, written as POSCAR:
```
Tc4AsPb
1.0
0.000 3.727 3.727
3.727 0.000 3.727
3.727 3.727 0.000
Tc As Pb
4 1 1
Direct
0.124 0.124 0.124
0.124 0.124 0.628
0.124 0.628 0.124
0.628 0.124 0.124
0.750 0.750 0.750
0.500 0.500 0.500
```

Summary:
* M_tot: 0.0 μB/f.u.
* symmetry: F-43m
* electronic total energy: -7.708 eV/atom
* V: 103.6 Å³/f.u.
* formation enthalpy at 0 K: 595.9 meV/atom



No. 3
Density functional theory data (PBE) for crystalline TcAsPb2 at its relaxed geometry.

Cell and atoms, written as POSCAR:
```
TcAsPb2
1.0
6.306 0.000 0.000
0.000 6.306 0.000
0.000 0.000 12.903
Tc As Pb
4 4 8
Direct
0.000 0.000 0.000
0.000 0.500 0.250
0.500 0.000 0.750
0.500 0.500 0.500
0.000 0.000 0.500
0.000 0.500 0.750
0.500 0.000 0.250
0.500 0.500 0.000
0.228 0.250 0.125
0.250 0.728 0.375
0.250 0.772 0.875
0.272 0.250 0.625
0.728 0.750 0.625
0.750 0.228 0.875
0.750 0.272 0.375
0.772 0.750 0.125
```

Summary:
* M_tot: 0.0 μB/f.u.
* symmetry: I-42d
* electronic total energy: -4.678 eV/atom
* V: 128.3 Å³/f.u.
* formation enthalpy at 0 K: 930.4 meV/atom



No. 4
Density functional theory data (PBE) for crystalline TcAs2Pb at its relaxed geometry.

Cell and atoms, written as POSCAR:
```
TcAs2Pb
1.0
3.747 0.000 0.000
0.000 4.574 0.000
-1.141 0.000 4.964
Tc As Pb
1 2 1
Direct
0.000 0.000 0.000
0.201 0.500 0.833
0.799 0.500 0.167
0.500 0.000 0.500
```

Summary:
* M_tot: 0.0 μB/f.u.
* symmetry: P2/m
* electronic total energy: -5.550 eV/atom
* V: 85.1 Å³/f.u.
* formation enthalpy at 0 K: 293.2 meV/atom



No. 5
Density functional theory data (PBE) for crystalline TcAs2Pb at its relaxed geometry.

Cell and atoms, written as POSCAR:
```
TcAs2Pb
1.0
3.148 0.000 0.000
0.000 3.253 0.000
0.000 0.000 16.759
Tc As Pb
2 4 2
Direct
0.000 0.000 0.000
0.500 0.500 0.500
0.000 0.000 0.429
0.000 0.500 0.616
0.500 0.000 0.116
0.500 0.500 0.929
0.000 0.500 0.263
0.500 0.000 0.763
```

Summary:
* M_tot: 0.0 μB/f.u.
* symmetry: Imm2
* electronic total energy: -5.784 eV/atom
* V: 85.8 Å³/f.u.
* formation enthalpy at 0 K: 59.8 meV/atom



No. 6
Density functional theory data (PBE) for crystalline TcAs2Pb at its relaxed geometry.

Cell and atoms, written as POSCAR:
```
TcAs2Pb
1.0
5.734 0.000 0.000
0.000 7.858 0.000
-0.025 0.000 3.479
Tc As Pb
2 4 2
Direct
0.000 0.000 0.000
0.500 0.500 0.000
0.250 0.250 0.500
0.250 0.750 0.500
0.750 0.250 0.500
0.750 0.750 0.500
0.000 0.500 0.000
0.500 0.000 0.000
```

Summary:
* M_tot: 0.0 μB/f.u.
* symmetry: C2/m
* electronic total energy: -5.245 eV/atom
* V: 78.4 Å³/f.u.
* formation enthalpy at 0 K: 598.0 meV/atom



No. 7
Density functional theory data (PBE) for crystalline TcAsPb2 at its relaxed geometry.

Cell and atoms, written as POSCAR:
```
TcAsPb2
1.0
4.974 0.000 0.000
0.000 3.416 0.000
-1.851 0.000 5.372
Tc As Pb
1 1 2
Direct
0.000 0.000 0.000
0.737 0.500 0.698
0.167 0.000 0.536
0.534 0.500 0.134
```

Summary:
* M_tot: 0.0 μB/f.u.
* symmetry: Pm
* electronic total energy: -5.348 eV/atom
* V: 91.3 Å³/f.u.
* formation enthalpy at 0 K: 260.5 meV/atom



No. 8
Density functional theory data (PBE) for crystalline TcAsPb2 at its relaxed geometry.

Cell and atoms, written as POSCAR:
```
TcAsPb2
1.0
8.636 0.000 0.000
0.000 3.332 0.000
-2.294 0.000 6.968
Tc As Pb
2 2 4
Direct
0.000 0.000 0.000
0.500 0.500 0.000
0.206 0.500 0.997
0.706 0.000 0.997
0.327 0.000 0.674
0.497 0.000 0.320
0.827 0.500 0.674
0.997 0.500 0.320
```

Summary:
* M_tot: 0.0 μB/f.u.
* symmetry: Cm
* electronic total energy: -5.505 eV/atom
* V: 100.2 Å³/f.u.
* formation enthalpy at 0 K: 102.8 meV/atom



No. 9
Density functional theory data (PBE) for crystalline TcAs2Pb at its relaxed geometry.

Cell and atoms, written as POSCAR:
```
TcAs2Pb
1.0
7.851 0.000 0.000
0.000 3.238 0.000
-1.037 0.000 6.720
Tc As Pb
2 4 2
Direct
0.000 0.000 0.000
0.500 0.500 0.000
0.226 0.500 0.169
0.274 0.000 0.831
0.726 0.000 0.169
0.774 0.500 0.831
0.000 0.500 0.500
0.500 0.000 0.500
```

Summary:
* M_tot: 0.0 μB/f.u.
* symmetry: C2/m
* electronic total energy: -5.712 eV/atom
* V: 85.4 Å³/f.u.
* formation enthalpy at 0 K: 130.9 meV/atom



No. 10
Density functional theory data (PBE) for crystalline TcAs2Pb at its relaxed geometry.

Cell and atoms, written as POSCAR:
```
TcAs2Pb
1.0
3.216 0.000 0.000
-1.608 2.785 0.000
0.000 0.000 27.819
Tc As Pb
3 6 3
Direct
0.000 0.000 0.000
0.333 0.667 0.667
0.667 0.333 0.333
0.000 0.000 0.270
0.000 0.000 0.730
0.333 0.667 0.396
0.333 0.667 0.937
0.667 0.333 0.063
0.667 0.333 0.604
0.000 0.000 0.500
0.333 0.667 0.167
0.667 0.333 0.833
```

Summary:
* M_tot: 0.0 μB/f.u.
* symmetry: R-3m
* electronic total energy: -5.899 eV/atom
* V: 83.1 Å³/f.u.
* formation enthalpy at 0 K: -55.8 meV/atom



No. 11
Density functional theory data (PBE) for crystalline TcAs3Pb at its relaxed geometry.

Cell and atoms, written as POSCAR:
```
TcAs3Pb
1.0
4.892 0.000 0.000
0.000 4.892 0.000
0.000 0.000 4.892
Tc As Pb
1 3 1
Direct
0.000 0.000 0.000
0.000 0.000 0.500
0.000 0.500 0.000
0.500 0.000 0.000
0.500 0.500 0.500
```

Summary:
* M_tot: 0.0 μB/f.u.
* relative energy among the computed polymorphs: 0.000 eV per atom
* symmetry: Pm-3m
* electronic total energy: -5.246 eV/atom
* V: 117.1 Å³/f.u.
* formation enthalpy at 0 K: 359.0 meV/atom



No. 12
Density functional theory data (PBE) for crystalline TcAsPb2 at its relaxed geometry.

Cell and atoms, written as POSCAR:
```
TcAsPb2
1.0
4.460 0.000 0.000
0.000 4.460 0.000
0.000 0.000 9.309
Tc As Pb
2 2 4
Direct
0.000 0.000 0.000
0.500 0.500 0.500
0.000 0.000 0.500
0.500 0.500 0.000
0.000 0.500 0.250
0.000 0.500 0.750
0.500 0.000 0.250
0.500 0.000 0.750
```

Summary:
* M_tot: 2.3 μB/f.u.
* symmetry: I4/mmm
* electronic total energy: -4.907 eV/atom
* V: 92.6 Å³/f.u.
* formation enthalpy at 0 K: 700.9 meV/atom



No. 13
Density functional theory data (PBE) for crystalline TcAsPb2 at its relaxed geometry.

Cell and atoms, written as POSCAR:
```
TcAsPb2
1.0
3.284 0.000 0.000
0.000 3.284 0.000
0.000 0.000 8.467
Tc As Pb
1 1 2
Direct
0.000 0.000 0.000
0.500 0.500 0.124
0.000 0.000 0.386
0.500 0.500 0.747
```

Summary:
* M_tot: 0.0 μB/f.u.
* symmetry: P4mm
* electronic total energy: -5.540 eV/atom
* V: 91.3 Å³/f.u.
* formation enthalpy at 0 K: 67.7 meV/atom



No. 14
Density functional theory data (PBE) for crystalline TcAsPb2 at its relaxed geometry.

Cell and atoms, written as POSCAR:
```
TcAsPb2
1.0
3.269 0.000 0.000
0.000 4.597 0.000
0.000 0.000 12.691
Tc As Pb
2 2 4
Direct
0.000 0.000 0.000
0.500 0.500 0.500
0.000 0.500 0.648
0.500 0.000 0.148
0.000 0.000 0.463
0.000 0.500 0.271
0.500 0.000 0.771
0.500 0.500 0.963
```

Summary:
* M_tot: 0.0 μB/f.u.
* symmetry: Imm2
* electronic total energy: -5.329 eV/atom
* V: 95.4 Å³/f.u.
* formation enthalpy at 0 K: 279.2 meV/atom



No. 15
Density functional theory data (PBE) for crystalline TcAs2Pb at its relaxed geometry.

Cell and atoms, written as POSCAR:
```
TcAs2Pb
1.0
3.069 0.000 0.000
0.000 5.742 0.000
0.000 0.000 10.025
Tc As Pb
2 4 2
Direct
0.000 0.000 0.000
0.500 0.500 0.500
0.000 0.500 0.304
0.000 0.500 0.696
0.500 0.000 0.196
0.500 0.000 0.804
0.000 0.000 0.500
0.500 0.500 0.000
```

Summary:
* M_tot: 0.7 μB/f.u.
* symmetry: Immm
* electronic total energy: -5.542 eV/atom
* V: 88.3 Å³/f.u.
* formation enthalpy at 0 K: 301.3 meV/atom